# LiYSeBr2 PBE relaxed
# Spin magnetization ... 0.00 μB per formula unit
# ΔE_f (raw) ... -129.6 kJ/mol of atoms
# Symmetry ... P4/mmm, No. 123
# Energy relative to the lowest polymorph listed for this composition ... 0 meV/atom
# DFT total energy ... -0.161 hartree per atom
data_LiYSeBr2
_chemical_formula_sum 'Li1 Y1 Se1 Br2'
_cell_length_a 5.620
_cell_length_b 5.620
_cell_length_c 5.484
_cell_angle_alpha 90.00
_cell_angle_beta 90.00
_cell_angle_gamma 90.00
_space_group_name_H-M_alt 'P 1'
_space_group_IT_number 1
loop_
_space_group_symop_operation_xyz
'x,y,z'
loop_
_atom_site_label
_atom_site_type_symbol
_atom_site_fract_x
_atom_site_fract_y
_atom_site_fract_z
Y1 Y 0.000 0.000 0.000
Se1 Se 0.000 0.000 0.500
Br1 Br 0.000 0.500 0.000
Br2 Br 0.500 0.000 0.000
Li1 Li 0.500 0.500 0.500



# Ho4HgOs PBE relaxed
# Spin magnetization ... 0.00 μB per formula unit
# Symmetry ... P2_1/c, No. 14
# Energy relative to the lowest polymorph listed for this composition ... 172 meV/atom
# E_form ... -18 kJ per mole of atoms
# DFT total energy ... -0.189 hartree per atom
data_Ho4HgOs
_chemical_formula_sum 'Ho8 Hg2 Os2'
_cell_length_a 6.744
_cell_length_b 6.912
_cell_length_c 7.527
_cell_angle_alpha 90.00
_cell_angle_beta 90.41
_cell_angle_gamma 90.00
_space_group_name_H-M_alt 'P 1'
_space_group_IT_number 1
loop_
_space_group_symop_operation_xyz
'x,y,z'
loop_
_atom_site_label
_atom_site_type_symbol
_atom_site_fract_x
_atom_site_fract_y
_atom_site_fract_z
Ho1 Ho 0.864 0.649 0.197
Ho2 Ho 0.636 0.149 0.803
Ho3 Ho 0.336 0.347 0.361
Ho4 Ho 0.164 0.847 0.639
Ho5 Ho 0.136 0.351 0.803
Ho6 Ho 0.364 0.851 0.197
Ho7 Ho 0.664 0.653 0.639
Ho8 Ho 0.836 0.153 0.361
Hg1 Hg 0.000 0.000 0.000
Hg2 Hg 0.500 0.500 0.000
Os1 Os 0.500 0.000 0.500
Os2 Os 0.000 0.500 0.500



# Ac3UBr2O6 PBE relaxed
# Spin magnetization ... 1.00 μB per formula unit
# ΔE_f (raw) ... -268.2 kJ/mol of atoms
# Symmetry ... C2/m, No. 12
# DFT total energy ... -0.276 hartree per atom
data_Ac3UBr2O6
_chemical_formula_sum 'Ac3 U1 Br2 O6'
_cell_length_a 5.946
_cell_length_b 7.193
_cell_length_c 7.466
_cell_angle_alpha 118.80
_cell_angle_beta 80.45
_cell_angle_gamma 90.00
_space_group_name_H-M_alt 'P 1'
_space_group_IT_number 1
loop_
_space_group_symop_operation_xyz
'x,y,z'
loop_
_atom_site_label
_atom_site_type_symbol
_atom_site_fract_x
_atom_site_fract_y
_atom_site_fract_z
Ac1 Ac 0.000 0.500 0.000
Ac2 Ac 0.500 0.500 0.500
Ac3 Ac 0.500 0.000 0.500
U1 U 0.500 0.000 0.000
Br1 Br 0.103 0.718 0.436
Br2 Br 0.897 0.282 0.564
O1 O 0.693 0.302 0.126
O2 O 0.307 0.698 0.874
O3 O 0.648 0.842 0.683
O4 O 0.352 0.158 0.317
O5 O 0.307 0.176 0.874
O6 O 0.693 0.824 0.126



# NaSiRu3 PBE relaxed
# Spin magnetization ... 2.95 μB per formula unit
# ΔE_f (raw) ... 224.5 kJ/mol of atoms
# Symmetry ... Pm-3m, No. 221
# Energy relative to the lowest polymorph listed for this composition ... 1582 meV/atom
# DFT total energy ... -0.169 hartree per atom
data_NaSiRu3
_chemical_formula_sum 'Na1 Si1 Ru3'
_cell_length_a 4.426
_cell_length_b 4.426
_cell_length_c 4.426
_cell_angle_alpha 90.00
_cell_angle_beta 90.00
_cell_angle_gamma 90.00
_space_group_name_H-M_alt 'P 1'
_space_group_IT_number 1
loop_
_space_group_symop_operation_xyz
'x,y,z'
loop_
_atom_site_label
_atom_site_type_symbol
_atom_site_fract_x
_atom_site_fract_y
_atom_site_fract_z
Ru1 Ru 0.000 0.500 0.000
Ru2 Ru 0.000 0.000 0.500
Ru3 Ru 0.500 0.000 0.000
Si1 Si 0.500 0.500 0.500
Na1 Na 0.000 0.000 0.000



# Al2VPb2 PBE relaxed
# Spin magnetization ... 3.09 μB per formula unit
# Symmetry ... I4/mmm, No. 139
# Energy relative to the lowest polymorph listed for this composition ... 0 meV/atom
# E_form ... 47 kJ per mole of atoms
# DFT total energy ... -0.159 hartree per atom
data_Al2VPb2
_chemical_formula_sum 'Al2 V1 Pb2'
_cell_length_a 3.666
_cell_length_b 3.666
_cell_length_c 9.237
_cell_angle_alpha 78.55
_cell_angle_beta 78.55
_cell_angle_gamma 90.00
_space_group_name_H-M_alt 'P 1'
_space_group_IT_number 1
loop_
_space_group_symop_operation_xyz
'x,y,z'
loop_
_atom_site_label
_atom_site_type_symbol
_atom_site_fract_x
_atom_site_fract_y
_atom_site_fract_z
Pb1 Pb 0.404 0.404 0.193
Pb2 Pb 0.596 0.596 0.807
Al1 Al 0.750 0.250 0.500
Al2 Al 0.250 0.750 0.500
V1 V 0.000 0.000 0.000



# RbSc2NbIn PBE relaxed
# Spin magnetization ... 5.06 μB per formula unit
# Symmetry ... P4/mmm, No. 123
# E_form ... 132 kJ per mole of atoms
# DFT total energy ... -0.144 hartree per atom
data_RbSc2NbIn
_chemical_formula_sum 'Rb1 Sc2 Nb1 In1'
_cell_length_a 5.500
_cell_length_b 6.195
_cell_length_c 5.500
_cell_angle_alpha 90.00
_cell_angle_beta 90.00
_cell_angle_gamma 90.00
_space_group_name_H-M_alt 'P 1'
_space_group_IT_number 1
loop_
_space_group_symop_operation_xyz
'x,y,z'
loop_
_atom_site_label
_atom_site_type_symbol
_atom_site_fract_x
_atom_site_fract_y
_atom_site_fract_z
Sc1 Sc 0.000 0.000 0.500
Sc2 Sc 0.500 0.000 0.000
Nb1 Nb 0.500 0.500 0.500
Rb1 Rb 0.000 0.500 0.000
In1 In 0.000 0.000 0.000



# LiCrCoNi PBE relaxed
# Spin magnetization ... 1.89 μB per formula unit
# Symmetry ... F-43m, No. 216
# E_form ... 17 kJ per mole of atoms
# DFT total energy ... -0.218 hartree per atom
data_LiCrCoNi
_chemical_formula_sum 'Li1 Cr1 Co1 Ni1'
_cell_length_a 3.961
_cell_length_b 3.961
_cell_length_c 3.961
_cell_angle_alpha 60.00
_cell_angle_beta 60.00
_cell_angle_gamma 60.00
_space_group_name_H-M_alt 'P 1'
_space_group_IT_number 1
loop_
_space_group_symop_operation_xyz
'x,y,z'
loop_
_atom_site_label
_atom_site_type_symbol
_atom_site_fract_x
_atom_site_fract_y
_atom_site_fract_z
Ni1 Ni 0.250 0.250 0.250
Li1 Li 0.500 0.500 0.500
Co1 Co 0.750 0.750 0.750
Cr1 Cr 0.000 0.000 0.000



# BeNiCl2 PBE relaxed
# Spin magnetization ... 0.00 μB per formula unit
# ΔE_f (raw) ... 17.3 kJ/mol of atoms
# Symmetry ... Pmmm, No. 47
# Energy relative to the lowest polymorph listed for this composition ... 638 meV/atom
# DFT total energy ... -0.115 hartree per atom
data_BeNiCl2
_chemical_formula_sum 'Be1 Ni1 Cl2'
_cell_length_a 3.156
_cell_length_b 6.137
_cell_length_c 3.377
_cell_angle_alpha 90.00
_cell_angle_beta 90.00
_cell_angle_gamma 90.00
_space_group_name_H-M_alt 'P 1'
_space_group_IT_number 1
loop_
_space_group_symop_operation_xyz
'x,y,z'
loop_
_atom_site_label
_atom_site_type_symbol
_atom_site_fract_x
_atom_site_fract_y
_atom_site_fract_z
Ni1 Ni 0.500 0.000 0.500
Be1 Be 0.000 0.500 0.500
Cl1 Cl 0.000 0.000 0.000
Cl2 Cl 0.500 0.500 0.000